(1)
The following is a DFT calculation (meta-GGA SCAN) of a PBEsol-optimized structure of Hf2Ni2Pt.

Output
Symmetry: P4/mbm (127)
DFT formation energy (eV/atom): -0.85

a = 6.814 Å, b = 6.814 Å, c = 3.236 Å
α = 90.00°, β = 90.00°, γ = 90.00°
Positions (direct):
Hf (0.177, 0.323, 0.000)
Hf (0.323, 0.823, 0.000)
Hf (0.677, 0.177, 0.000)
Hf (0.823, 0.677, 0.000)
Ni (0.124, 0.624, 0.500)
Ni (0.376, 0.124, 0.500)
Ni (0.624, 0.876, 0.500)
Ni (0.876, 0.376, 0.500)
Pt (0.000, 0.000, 0.500)
Pt (0.500, 0.500, 0.500)


(2)
The following is a DFT calculation (meta-GGA SCAN) of a PBEsol-optimized structure of Ca2CuOs.

Output
Symmetry: Pmm2 (25)
DFT formation energy (eV/atom): 0.56

a = 2.785 Å, b = 4.783 Å, c = 5.842 Å
α = 90.00°, β = 90.00°, γ = 90.00°
Positions (direct):
Ca (0.000, 0.000, 0.000)
Ca (0.500, 0.500, 0.354)
Cu (0.000, 0.000, 0.534)
Os (0.500, 0.500, 0.833)


Q: The lowest DFT formation energy belongs to which entry?
A: Hf2Ni2Pt


Q: The lowest DFT formation energy belongs to which entry?
A: Hf2Ni2Pt